# PBE Li2Sc2InGaAu2, optimized geometry
# E_tot ... -0.30962 Ry per atom
# Total moment ... 0.0 Bohr magnetons per cell
data_Li2Sc2InGaAu2
_space_group_name_H-M_alt 'P -4 m 2'
_space_group_IT_number 115
_space_group_name_Hall 'P -4 -2'
_cell_length_a 4.612
_cell_length_b 4.612
_cell_length_c 6.544
_cell_angle_alpha 90.00
_cell_angle_beta 90.00
_cell_angle_gamma 90.00
loop_
_atom_site_label
_atom_site_fract_x
_atom_site_fract_y
_atom_site_fract_z
Li1 0.000 0.500 0.238
Sc1 0.000 0.000 0.500
Sc2 0.500 0.500 0.000
In1 0.500 0.500 0.500
Ga1 0.000 0.000 0.000
Au1 0.000 0.500 0.761